[1]
# Dy3TaO7 | Alexandria via LeMat-Bulk | meta-GGA SCAN | PBEsol geometry
data_Dy3TaO7
_chemical_formula_sum 'Dy12 Ta4 O28'
_symmetry_space_group_name_H-M 'P n m a'
_symmetry_Int_Tables_number 62
_cell_length_a 7.3433
_cell_length_b 10.4713
_cell_length_c 7.4409
_cell_angle_alpha 90.00
_cell_angle_beta 90.00
_cell_angle_gamma 90.00
loop_
_symmetry_equiv_pos_as_xyz
'x,y,z'
'-x,-y,-z'
'-x+1/2,-y,z+1/2'
'x+1/2,y,-z+1/2'
'x+1/2,-y+1/2,-z+1/2'
'-x+1/2,y+1/2,z+1/2'
'-x,y+1/2,-z'
'x,-y+1/2,z'
loop_
_atom_site_label
_atom_site_fract_x
_atom_site_fract_y
_atom_site_fract_z
Dy1 0.0156 0.2500 0.2056
Dy2 0.2487 0.0226 0.5378
Ta1 0.0024 0.2500 0.7507
O1 0.0395 0.1246 0.9553
O2 0.0444 0.6090 0.4090
O3 0.2411 0.6167 0.7697
O4 0.2482 0.2500 0.6574
# Relative energy among the computed polymorphs, eV per atom: 0.011
# Size of the total moment, μB per formula unit: 0.00
# Total DFT energy (no corrections), eV/cell: -1178.06

***

[2]
# TlH2Rh2 | Alexandria via LeMat-Bulk | meta-GGA SCAN | PBEsol geometry
data_TlH2Rh2
_chemical_formula_sum 'Tl2 H4 Rh4'
_symmetry_space_group_name_H-M 'I 4/m m m'
_symmetry_Int_Tables_number 139
_symmetry_space_group_name_Hall '-I 4 2'
_cell_length_a 3.1730
_cell_length_b 3.1730
_cell_length_c 10.6686
_cell_angle_alpha 90.00
_cell_angle_beta 90.00
_cell_angle_gamma 90.00
loop_
_atom_site_label
_atom_site_fract_x
_atom_site_fract_y
_atom_site_fract_z
Tl1 0.0000 0.0000 0.0000
H1 0.0000 0.5000 0.2500
Rh1 0.0000 0.0000 0.3443
# Size of the total moment, μB per formula unit: 0.00
# Total DFT energy (no corrections), eV/cell: -293.15

***

[3]
# KCa2Ta | Alexandria via LeMat-Bulk | meta-GGA SCAN | PBEsol geometry
data_KCa2Ta
_chemical_formula_sum 'K3 Ca6 Ta3'
_symmetry_space_group_name_H-M 'R -3 m'
_symmetry_Int_Tables_number 166
_symmetry_space_group_name_Hall '-R 3 2"'
_cell_length_a 3.3909
_cell_length_b 3.3909
_cell_length_c 37.7935
_cell_angle_alpha 90.00
_cell_angle_beta 90.00
_cell_angle_gamma 120.00
loop_
_atom_site_label
_atom_site_fract_x
_atom_site_fract_y
_atom_site_fract_z
K1 0.0000 0.0000 0.0000
Ca1 0.0000 0.0000 0.2330
Ta1 0.0000 0.0000 0.5000
# Relative energy among the computed polymorphs, eV per atom: 0.000
# Size of the total moment, μB per formula unit: 0.00
# Total DFT energy (no corrections), eV/cell: -273.47
# Energy of formation from the pure elements, meV per atom: 770

***

[4]
# LiBeTc3 | Alexandria via LeMat-Bulk | meta-GGA SCAN | PBEsol geometry
data_LiBeTc3
_chemical_formula_sum 'Li1 Be1 Tc3'
_symmetry_space_group_name_H-M 'P m -3 m'
_symmetry_Int_Tables_number 221
_symmetry_space_group_name_Hall '-P 4 2 3'
_cell_length_a 4.0948
_cell_length_b 4.0948
_cell_length_c 4.0948
_cell_angle_alpha 90.00
_cell_angle_beta 90.00
_cell_angle_gamma 90.00
loop_
_atom_site_label
_atom_site_fract_x
_atom_site_fract_y
_atom_site_fract_z
Li1 0.0000 0.0000 0.0000
Be1 0.5000 0.5000 0.5000
Tc1 0.0000 0.5000 0.5000
# Size of the total moment, μB per formula unit: 0.00
# Total DFT energy (no corrections), eV/cell: -107.62
# Energy of formation from the pure elements, meV per atom: 861

***

[5]
# TiHSe2 | Alexandria via LeMat-Bulk | meta-GGA SCAN | PBEsol geometry
data_TiHSe2
_chemical_formula_sum 'Ti3 H3 Se6'
_symmetry_space_group_name_H-M 'R -3 m'
_symmetry_Int_Tables_number 166
_symmetry_space_group_name_Hall '-R 3 2"'
_cell_length_a 3.5547
_cell_length_b 3.5547
_cell_length_c 19.5068
_cell_angle_alpha 90.00
_cell_angle_beta 90.00
_cell_angle_gamma 120.00
loop_
_atom_site_label
_atom_site_fract_x
_atom_site_fract_y
_atom_site_fract_z
Ti1 0.0000 0.0000 0.0000
H1 0.0000 0.0000 0.5000
Se1 0.0000 0.0000 0.4104
# Size of the total moment, μB per formula unit: 0.01
# Total DFT energy (no corrections), eV/cell: -187.55

***

[6]
# ErBi | Alexandria via LeMat-Bulk | meta-GGA SCAN | PBEsol geometry
data_ErBi
_chemical_formula_sum 'Er4 Bi4'
_symmetry_space_group_name_H-M 'F m -3 m'
_symmetry_Int_Tables_number 225
_symmetry_space_group_name_Hall '-F 4 2 3'
_cell_length_a 6.1786
_cell_length_b 6.1786
_cell_length_c 6.1786
_cell_angle_alpha 90.00
_cell_angle_beta 90.00
_cell_angle_gamma 90.00
loop_
_atom_site_label
_atom_site_fract_x
_atom_site_fract_y
_atom_site_fract_z
Er1 0.0000 0.0000 0.0000
Bi1 0.0000 0.0000 0.5000
# Size of the total moment, μB per formula unit: 0.00
# Total DFT energy (no corrections), eV/cell: -523.21
# Energy of formation from the pure elements, meV per atom: -941